Model w:
The following is a DFT calculation (PBE) of CeSmHg after structural relaxation.

abc: 3.567 5.398 8.818
angles: 90.00 101.67 90.00
Element x y z (fractional)
1 Hg 0.406 0.250 0.812
2 Hg 0.594 0.750 0.188
3 Sm 0.073 0.250 0.145
4 Sm 0.927 0.750 0.855
5 Ce 0.248 0.750 0.497
6 Ce 0.752 0.250 0.503

---

Model x:
The following is a DFT calculation (PBE) of CeSmHg after structural relaxation.

abc: 5.835 3.342 9.616
angles: 100.01 107.66 90.00
Element x y z (fractional)
1 Ce 0.724 0.500 0.000
2 Ce 0.276 0.500 0.000
3 Sm 0.668 0.168 0.336
4 Sm 0.332 0.832 0.664
5 Hg 0.157 0.657 0.314
6 Hg 0.843 0.343 0.686

---

Model y:
The following is a DFT calculation (PBE) of CeSmHg after structural relaxation.

abc: 3.580 5.198 5.198
angles: 120.00 90.00 90.00
Element x y z (fractional)
1 Sm 0.635 0.667 0.333
2 Hg 0.349 0.333 0.667
3 Ce 0.015 0.000 0.000

---

Result of the stability comparison: model x is the least stable of them.